Density functional theory data (PBE+U) for a geometry-optimized As2WBrF structure.

Fermi-level density of states ... 0.2359 states/eV/atom
Total energy ... -3.49 eV per atom
Calculated density ... 6.8 g/cm3
Space-group type ... P4/mmm
Spin magnetization ... 0.580 μB per atom

```
5
Lattice="-1.469 -0.583 4.055 2.108 -3.801 0.217 4.519 2.620 2.014" Properties=species:S:1:pos:R:3 pbc="T T T"
Br 2.260 1.310 1.007
F 0.000 0.000 0.000
W 2.579 -0.882 3.143
As -0.734 -0.292 2.027
As 1.054 -1.901 0.108
```